# CsRbGeTe3

CsRbGeTe3 after structural relaxation (PBE-GGA, the Alexandria database).

abc: 7.472 7.472 12.412
angles: 78.52 78.52 78.44
Sites, in units of the cell vectors:
Rb (0.261, 0.739, 0.500)
Rb (0.739, 0.261, 0.500)
Te (0.745, 0.211, 0.809)
Te (0.227, 0.227, 0.554)
Te (0.773, 0.773, 0.446)
Te (0.255, 0.789, 0.191)
Te (0.211, 0.745, 0.809)
Te (0.789, 0.255, 0.191)
Cs (0.301, 0.301, 0.094)
Cs (0.699, 0.699, 0.906)
Ge (0.071, 0.071, 0.737)
Ge (0.929, 0.929, 0.263)

Properties
symmetry = C2/m (12)
formation energy (no corrections) = -0.556 eV/atom



# Cs2RbTlGe

Cs2RbTlGe after structural relaxation (PBE-GGA, the Alexandria database).

abc: 7.608 7.608 5.482
angles: 90.00 90.00 90.00
Sites, in units of the cell vectors:
Ge (0.000, 0.000, 0.000)
Rb (0.500, 0.500, 0.500)
Tl (0.000, 0.000, 0.500)
Cs (0.500, 0.000, 0.000)
Cs (0.000, 0.500, 0.000)

Properties
formation energy = 0.09 eV/atom
symmetry = P4/mmm (123)



# CsReGe3

CsReGe3 after structural relaxation (PBE-GGA, the Alexandria database).

abc: 4.975 4.975 4.975
angles: 90.00 90.00 90.00
Sites, in units of the cell vectors:
Cs (0.500, 0.500, 0.500)
Re (0.000, 0.000, 0.000)
Ge (0.000, 0.000, 0.500)
Ge (0.000, 0.500, 0.000)
Ge (0.500, 0.000, 0.000)

Properties
formation energy = 0.29 eV/atom
symmetry = Pm-3m (221)
polymorph energy (0 for the lowest one) = 0 meV/atom



# CsRe3Ge

CsRe3Ge after structural relaxation (PBE-GGA, the Alexandria database).

abc: 4.829 4.829 4.829
angles: 90.00 90.00 90.00
Sites, in units of the cell vectors:
Re (0.000, 0.500, 0.000)
Re (0.000, 0.000, 0.500)
Re (0.500, 0.000, 0.000)
Cs (0.500, 0.500, 0.500)
Ge (0.000, 0.000, 0.000)

Properties
formation energy = 2.32 eV/atom
symmetry = Pm-3m (221)
polymorph energy (0 for the lowest one) = 0 meV/atom



- What is the formula in the fourth record?
  CsRe3Ge



What did the fourth record say?
# CsRe3Ge

CsRe3Ge after structural relaxation (PBE-GGA, the Alexandria database).

abc: 4.829 4.829 4.829
angles: 90.00 90.00 90.00
Sites, in units of the cell vectors:
Re (0.000, 0.500, 0.000)
Re (0.000, 0.000, 0.500)
Re (0.500, 0.000, 0.000)
Cs (0.500, 0.500, 0.500)
Ge (0.000, 0.000, 0.000)

Properties
formation energy = 2.32 eV/atom
symmetry = Pm-3m (221)
polymorph energy (0 for the lowest one) = 0 meV/atom